Record 1
{
  "formula": "InAgTeO",
  "functional": "GGA-PBE",
  "state": "optimized geometry",
  "lattice": [[4.0059, 0.0000, 0.0000], [0.0000, 4.0059, 0.0000], [0.0000, 0.0000, 9.9210]],
  "species": ["In", "In", "Ag", "Ag", "Te", "Te", "O", "O"],
  "fractional_positions": [[0.2500, 0.2500, 0.1020], [0.7500, 0.7500, 0.8980], [0.2500, 0.7500, 0.5000], [0.7500, 0.2500, 0.5000], [0.2500, 0.2500, 0.7103], [0.7500, 0.7500, 0.2897], [0.2500, 0.7500, 0.0000], [0.7500, 0.2500, 0.0000]],
  "e_tot_ha_per_atom": -0.145,
  "space_group": "P4/nmm",
  "crystal_system": "tetragonal"
}

Record 2
{
  "formula": "InAgTeO",
  "functional": "GGA-PBE",
  "state": "optimized geometry",
  "lattice": [[4.3038, 0.0000, 0.0000], [0.0000, 7.2277, 0.0000], [0.0000, 0.0000, 6.3144]],
  "species": ["In", "In", "Ag", "Ag", "Te", "Te", "O", "O"],
  "fractional_positions": [[0.0000, 0.1212, 0.0000], [0.0000, 0.8788, 0.5000], [0.5000, 0.2804, 0.5955], [0.5000, 0.7196, 0.0955], [0.5000, 0.3301, 0.1555], [0.5000, 0.6699, 0.6555], [0.0000, 0.1278, 0.6684], [0.0000, 0.8722, 0.1684]],
  "e_tot_ha_per_atom": -0.145,
  "space_group": "Pmc2_1",
  "crystal_system": "orthorhombic"
}

Record 3
{
  "formula": "YInAg2O4",
  "functional": "GGA-PBE",
  "state": "optimized geometry",
  "lattice": [[3.3991, 0.0000, 0.0000], [-1.6996, 2.9437, 0.0000], [0.0000, 0.0000, 12.6059]],
  "species": ["Y", "In", "Ag", "Ag", "O", "O", "O", "O"],
  "fractional_positions": [[0.0000, 0.0000, 0.0000], [0.0000, 0.0000, 0.5000], [0.3333, 0.6667, 0.2520], [0.6667, 0.3333, 0.7480], [0.3333, 0.6667, 0.0875], [0.3333, 0.6667, 0.4176], [0.6667, 0.3333, 0.5824], [0.6667, 0.3333, 0.9125]],
  "e_tot_ha_per_atom": -0.219,
  "space_group": "P-3m1",
  "m_tot_mub_per_cell": 0.00,
  "crystal_system": "trigonal"
}

Record 4
{
  "formula": "ZrInAg3O4",
  "functional": "GGA-PBE",
  "state": "optimized geometry",
  "lattice": [[5.6244, 0.0000, 0.0000], [0.0000, 5.6244, 0.0000], [0.0000, 0.0000, 5.6244]],
  "species": ["Zr", "In", "Ag", "Ag", "Ag", "O", "O", "O", "O"],
  "fractional_positions": [[0.0000, 0.0000, 0.0000], [0.5000, 0.5000, 0.5000], [0.0000, 0.0000, 0.5000], [0.0000, 0.5000, 0.0000], [0.5000, 0.0000, 0.0000], [0.2097, 0.2097, 0.7903], [0.2097, 0.7903, 0.2097], [0.7903, 0.2097, 0.2097], [0.7903, 0.7903, 0.7903]],
  "e_tot_ha_per_atom": -0.195,
  "space_group": "P-43m",
  "m_tot_mub_per_cell": 0.00,
  "crystal_system": "cubic"
}

Record 5
{
  "formula": "InAgOsS3",
  "functional": "GGA-PBE",
  "state": "optimized geometry",
  "lattice": [[1.8095, -7.4757, 0.0000], [1.8095, 7.4757, 0.0000], [0.0000, 0.0000, 9.2984]],
  "species": ["In", "In", "Ag", "Ag", "Os", "Os", "S", "S", "S", "S", "S", "S"],
  "fractional_positions": [[0.1682, 0.8318, 0.7500], [0.8318, 0.1682, 0.2500], [0.1826, 0.8174, 0.2500], [0.8174, 0.1826, 0.7500], [0.5000, 0.5000, 0.0000], [0.5000, 0.5000, 0.5000], [0.1033, 0.8967, 0.0223], [0.1033, 0.8967, 0.4777], [0.4610, 0.5390, 0.2500], [0.5390, 0.4610, 0.7500], [0.8967, 0.1033, 0.5223], [0.8967, 0.1033, 0.9777]],
  "e_tot_ha_per_atom": -0.184,
  "space_group": "Cmcm",
  "m_tot_mub_per_cell": 0.00,
  "crystal_system": "orthorhombic"
}

Record 6
{
  "formula": "InAgOsSeS2",
  "functional": "GGA-PBE",
  "state": "optimized geometry",
  "lattice": [[1.8115, -7.4444, 0.0000], [1.8115, 7.4444, 0.0000], [0.0000, 0.0000, 9.6818]],
  "species": ["In", "In", "Ag", "Ag", "Os", "Os", "Se", "Se", "S", "S", "S", "S"],
  "fractional_positions": [[0.1790, 0.8210, 0.7500], [0.8210, 0.1790, 0.2500], [0.1729, 0.8271, 0.2500], [0.8271, 0.1729, 0.7500], [0.5000, 0.5000, 0.0000], [0.5000, 0.5000, 0.5000], [0.4608, 0.5392, 0.2500], [0.5392, 0.4608, 0.7500], [0.1055, 0.8945, 0.0186], [0.1055, 0.8945, 0.4814], [0.8945, 0.1055, 0.5186], [0.8945, 0.1055, 0.9814]],
  "e_tot_ha_per_atom": -0.178,
  "space_group": "Cmcm",
  "m_tot_mub_per_cell": 0.00,
  "crystal_system": "orthorhombic"
}

- Which formula does entry 3 have?
  YInAg2O4